# Ba2BiPdN, relaxed, DFT PBE
data_Ba2BiPdN
_chemical_formula_sum 'Ba2 Bi1 Pd1 N1'
_symmetry_space_group_name_H-M 'P 1'
_symmetry_Int_Tables_number 1
_cell_length_a 6.137
_cell_length_b 6.137
_cell_length_c 3.879
_cell_angle_alpha 90.00
_cell_angle_beta 90.00
_cell_angle_gamma 90.00
loop_
_symmetry_equiv_pos_as_xyz
'x,y,z'
loop_
_atom_site_label
_atom_site_type_symbol
_atom_site_fract_x
_atom_site_fract_y
_atom_site_fract_z
_atom_site_occupancy
Ba1 Ba 0.000 0.500 0.000 1
Ba2 Ba 0.500 0.000 0.000 1
Bi1 Bi 0.000 0.000 0.500 1
Pd1 Pd 0.500 0.500 0.500 1
N1 N 0.500 0.500 0.000 1
# Density in kg/m³: 6864
# Raw formation energy in eV/atom: -0.535
# Symmetry: P4/mmm (123)
# E in eV per atom: -4.7836

=====

# KBaWN3, relaxed, DFT PBE
data_KBaWN3
_chemical_formula_sum 'K2 Ba2 W2 N6'
_symmetry_space_group_name_H-M 'P 1'
_symmetry_Int_Tables_number 1
_cell_length_a 6.880
_cell_length_b 6.880
_cell_length_c 5.627
_cell_angle_alpha 95.20
_cell_angle_beta 95.20
_cell_angle_gamma 123.42
loop_
_symmetry_equiv_pos_as_xyz
'x,y,z'
loop_
_atom_site_label
_atom_site_type_symbol
_atom_site_fract_x
_atom_site_fract_y
_atom_site_fract_z
_atom_site_occupancy
K1 K 0.073 0.927 0.750 1
K2 K 0.927 0.073 0.250 1
Ba1 Ba 0.257 0.743 0.250 1
Ba2 Ba 0.743 0.257 0.750 1
W1 W 0.453 0.547 0.750 1
W2 W 0.547 0.453 0.250 1
N1 N 0.271 0.356 0.018 1
N2 N 0.298 0.702 0.750 1
N3 N 0.356 0.271 0.518 1
N4 N 0.644 0.729 0.482 1
N5 N 0.702 0.298 0.250 1
N6 N 0.729 0.644 0.982 1
# Density in kg/m³: 6122
# Raw formation energy in eV/atom: -0.549
# Symmetry: C2/c (15)
# E in eV per atom: -7.3741

=====

# Y5PaP6, relaxed, DFT PBE
data_Y5PaP6
_chemical_formula_sum 'Y5 Pa1 P6'
_symmetry_space_group_name_H-M 'P 1'
_symmetry_Int_Tables_number 1
_cell_length_a 6.928
_cell_length_b 6.928
_cell_length_c 6.924
_cell_angle_alpha 99.59
_cell_angle_beta 99.59
_cell_angle_gamma 119.98
loop_
_symmetry_equiv_pos_as_xyz
'x,y,z'
loop_
_atom_site_label
_atom_site_type_symbol
_atom_site_fract_x
_atom_site_fract_y
_atom_site_fract_z
_atom_site_occupancy
Y1 Y 0.000 0.000 0.000 1
Y2 Y 0.166 0.834 0.500 1
Y3 Y 0.332 0.668 0.000 1
Y4 Y 0.668 0.332 0.000 1
Y5 Y 0.834 0.166 0.500 1
Pa1 Pa 0.500 0.500 0.500 1
P1 P 0.090 0.418 0.253 1
P2 P 0.255 0.255 0.746 1
P3 P 0.418 0.090 0.253 1
P4 P 0.582 0.910 0.747 1
P5 P 0.745 0.745 0.254 1
P6 P 0.910 0.582 0.747 1
# ΔH_f (0 K) in eV per atom: -1.595
# Density in kg/m³: 5269
# Symmetry: C2/m (12)
# E in eV per atom: -7.7847

=====

# GaTcIr3, relaxed, DFT PBE
data_GaTcIr3
_chemical_formula_sum 'Ga1 Tc1 Ir3'
_symmetry_space_group_name_H-M 'P 1'
_symmetry_Int_Tables_number 1
_cell_length_a 4.506
_cell_length_b 4.506
_cell_length_c 4.506
_cell_angle_alpha 90.00
_cell_angle_beta 90.00
_cell_angle_gamma 90.00
loop_
_symmetry_equiv_pos_as_xyz
'x,y,z'
loop_
_atom_site_label
_atom_site_type_symbol
_atom_site_fract_x
_atom_site_fract_y
_atom_site_fract_z
_atom_site_occupancy
Ga1 Ga 0.000 0.000 0.000 1
Tc1 Tc 0.500 0.500 0.500 1
Ir1 Ir 0.000 0.000 0.500 1
Ir2 Ir 0.000 0.500 0.000 1
Ir3 Ir 0.500 0.000 0.000 1
# ΔH_f (0 K) in eV per atom: 1.477
# Density in kg/m³: 13515
# Symmetry: Pm-3m (221)
# E in eV per atom: -6.5182
# Excess energy over the best structure of this formula in the dataset in eV per atom: 0.000

=====

# NaLi5, relaxed, DFT PBE
data_NaLi5
_chemical_formula_sum 'Na1 Li5'
_symmetry_space_group_name_H-M 'P 1'
_symmetry_Int_Tables_number 1
_cell_length_a 5.515
_cell_length_b 5.515
_cell_length_c 5.213
_cell_angle_alpha 90.00
_cell_angle_beta 90.00
_cell_angle_gamma 120.00
loop_
_symmetry_equiv_pos_as_xyz
'x,y,z'
loop_
_atom_site_label
_atom_site_type_symbol
_atom_site_fract_x
_atom_site_fract_y
_atom_site_fract_z
_atom_site_occupancy
Na1 Na 0.000 0.000 0.000 1
Li1 Li 0.000 0.352 0.500 1
Li2 Li 0.333 0.667 0.000 1
Li3 Li 0.352 0.000 0.500 1
Li4 Li 0.648 0.648 0.500 1
Li5 Li 0.667 0.333 0.000 1
# ΔH_f (0 K) in eV per atom: 0.041
# Density in kg/m³: 698
# Symmetry: P-62m (189)
# E in eV per atom: -1.7739

=====

# LaNbGe, relaxed, DFT PBE
data_LaNbGe
_chemical_formula_sum 'La2 Nb2 Ge2'
_symmetry_space_group_name_H-M 'P 1'
_symmetry_Int_Tables_number 1
_cell_length_a 5.396
_cell_length_b 4.410
_cell_length_c 6.776
_cell_angle_alpha 90.00
_cell_angle_beta 112.07
_cell_angle_gamma 90.00
loop_
_symmetry_equiv_pos_as_xyz
'x,y,z'
loop_
_atom_site_label
_atom_site_type_symbol
_atom_site_fract_x
_atom_site_fract_y
_atom_site_fract_z
_atom_site_occupancy
La1 La 0.000 0.000 0.000 1
La2 La 0.349 0.000 0.641 1
Nb1 Nb 0.609 0.000 0.254 1
Nb2 Nb 0.896 0.500 0.419 1
Ge1 Ge 0.350 0.500 0.335 1
Ge2 Ge 0.524 0.500 0.995 1
# ΔH_f (0 K) in eV per atom: -0.232
# Density in kg/m³: 6767
# Symmetry: Pm (6)
# E in eV per atom: -6.7703

=====

# TaZnRe2, relaxed, DFT PBE
data_TaZnRe2
_chemical_formula_sum 'Ta1 Zn1 Re2'
_symmetry_space_group_name_H-M 'P 1'
_symmetry_Int_Tables_number 1
_cell_length_a 2.705
_cell_length_b 4.455
_cell_length_c 5.242
_cell_angle_alpha 90.00
_cell_angle_beta 98.91
_cell_angle_gamma 90.00
loop_
_symmetry_equiv_pos_as_xyz
'x,y,z'
loop_
_atom_site_label
_atom_site_type_symbol
_atom_site_fract_x
_atom_site_fract_y
_atom_site_fract_z
_atom_site_occupancy
Ta1 Ta 0.000 0.000 0.000 1
Zn1 Zn 0.500 0.000 0.500 1
Re1 Re 0.229 0.500 0.740 1
Re2 Re 0.771 0.500 0.260 1
# ΔH_f (0 K) in eV per atom: 0.070
# Density in kg/m³: 16461
# Symmetry: P2/m (10)
# E in eV per atom: -9.4361

=====

# MnInAu, relaxed, DFT PBE
data_MnInAu
_chemical_formula_sum 'Mn1 In1 Au1'
_symmetry_space_group_name_H-M 'P 1'
_symmetry_Int_Tables_number 1
_cell_length_a 5.077
_cell_length_b 5.077
_cell_length_c 5.077
_cell_angle_alpha 141.86
_cell_angle_beta 135.56
_cell_angle_gamma 59.96
loop_
_symmetry_equiv_pos_as_xyz
'x,y,z'
loop_
_atom_site_label
_atom_site_type_symbol
_atom_site_fract_x
_atom_site_fract_y
_atom_site_fract_z
_atom_site_occupancy
Mn1 Mn 0.000 0.000 0.000 1
In1 In 0.329 0.329 0.000 1
Au1 Au 0.656 0.656 0.000 1
# ΔH_f (0 K) in eV per atom: 0.072
# Density in kg/m³: 10872
# Symmetry: Imm2 (44)
# E in eV per atom: -4.9900

=====

# CrCuHS2, relaxed, DFT PBE
data_CrCuHS2
_chemical_formula_sum 'Cr1 Cu1 H1 S2'
_symmetry_space_group_name_H-M 'P 1'
_symmetry_Int_Tables_number 1
_cell_length_a 4.575
_cell_length_b 4.575
_cell_length_c 3.342
_cell_angle_alpha 90.00
_cell_angle_beta 90.00
_cell_angle_gamma 90.00
loop_
_symmetry_equiv_pos_as_xyz
'x,y,z'
loop_
_atom_site_label
_atom_site_type_symbol
_atom_site_fract_x
_atom_site_fract_y
_atom_site_fract_z
_atom_site_occupancy
Cr1 Cr 0.000 0.000 0.000 1
Cu1 Cu 0.500 0.500 0.500 1
H1 H 0.000 0.000 0.500 1
S1 S 0.000 0.500 0.000 1
S2 S 0.500 0.000 0.000 1
# Density in kg/m³: 4289
# Symmetry: P4/mmm (123)
# E in eV per atom: -4.9275

=====

# RbCaLaO3, relaxed, DFT PBE
data_RbCaLaO3
_chemical_formula_sum 'Rb2 Ca2 La2 O6'
_symmetry_space_group_name_H-M 'P 1'
_symmetry_Int_Tables_number 1
_cell_length_a 7.839
_cell_length_b 3.687
_cell_length_c 10.118
_cell_angle_alpha 90.00
_cell_angle_beta 91.85
_cell_angle_gamma 90.00
loop_
_symmetry_equiv_pos_as_xyz
'x,y,z'
loop_
_atom_site_label
_atom_site_type_symbol
_atom_site_fract_x
_atom_site_fract_y
_atom_site_fract_z
_atom_site_occupancy
Rb1 Rb 0.133 0.250 0.211 1
Rb2 Rb 0.867 0.750 0.789 1
Ca1 Ca 0.151 0.250 0.562 1
Ca2 Ca 0.849 0.750 0.438 1
La1 La 0.394 0.750 0.865 1
La2 La 0.606 0.250 0.135 1
O1 O 0.140 0.750 0.439 1
O2 O 0.234 0.250 0.783 1
O3 O 0.397 0.750 0.090 1
O4 O 0.603 0.250 0.910 1
O5 O 0.766 0.750 0.217 1
O6 O 0.860 0.250 0.561 1
# Density in kg/m³: 3550
# Raw formation energy in eV/atom: -2.543
# Symmetry: P2_1/m (11)
# E in eV per atom: -6.3378

=====

# AcZnAgPt, relaxed, DFT PBE
data_AcZnAgPt
_chemical_formula_sum 'Ac2 Zn2 Ag2 Pt2'
_symmetry_space_group_name_H-M 'P 1'
_symmetry_Int_Tables_number 1
_cell_length_a 4.227
_cell_length_b 4.227
_cell_length_c 10.759
_cell_angle_alpha 90.00
_cell_angle_beta 90.00
_cell_angle_gamma 90.00
loop_
_symmetry_equiv_pos_as_xyz
'x,y,z'
loop_
_atom_site_label
_atom_site_type_symbol
_atom_site_fract_x
_atom_site_fract_y
_atom_site_fract_z
_atom_site_occupancy
Ac1 Ac 0.250 0.250 0.184 1
Ac2 Ac 0.750 0.750 0.816 1
Zn1 Zn 0.250 0.250 0.654 1
Zn2 Zn 0.750 0.750 0.346 1
Ag1 Ag 0.250 0.750 0.500 1
Ag2 Ag 0.750 0.250 0.500 1
Pt1 Pt 0.250 0.250 0.890 1
Pt2 Pt 0.750 0.750 0.110 1
# ΔH_f (0 K) in eV per atom: -0.538
# Density in kg/m³: 10288
# Symmetry: P4/nmm (129)
# E in eV per atom: -4.1069
# Excess energy over the best structure of this formula in the dataset in eV per atom: 0.000

=====

# Na3TlPd2, relaxed, DFT PBE
data_Na3TlPd2
_chemical_formula_sum 'Na6 Tl2 Pd4'
_symmetry_space_group_name_H-M 'P 1'
_symmetry_Int_Tables_number 1
_cell_length_a 7.973
_cell_length_b 7.973
_cell_length_c 10.773
_cell_angle_alpha 129.66
_cell_angle_beta 129.66
_cell_angle_gamma 33.17
loop_
_symmetry_equiv_pos_as_xyz
'x,y,z'
loop_
_atom_site_label
_atom_site_type_symbol
_atom_site_fract_x
_atom_site_fract_y
_atom_site_fract_z
_atom_site_occupancy
Na1 Na 0.073 0.073 0.221 1
Na2 Na 0.124 0.124 0.560 1
Na3 Na 0.350 0.350 0.900 1
Na4 Na 0.650 0.650 0.100 1
Na5 Na 0.876 0.876 0.440 1
Na6 Na 0.927 0.927 0.779 1
Tl1 Tl 0.435 0.435 0.266 1
Tl2 Tl 0.565 0.565 0.734 1
Pd1 Pd 0.181 0.181 0.936 1
Pd2 Pd 0.320 0.320 0.557 1
Pd3 Pd 0.680 0.680 0.443 1
Pd4 Pd 0.819 0.819 0.064 1
# ΔH_f (0 K) in eV per atom: -0.111
# Density in kg/m³: 5777
# Symmetry: C2/m (12)
# E in eV per atom: -2.8961
# Excess energy over the best structure of this formula in the dataset in eV per atom: 0.000

=====

- Among the records above, which one has the lowest E?
  TaZnRe2

=====

- Which value of density does entry 9 give?
  4289 kg/m³

=====

Please write out number 11 again, unchanged.
# AcZnAgPt, relaxed, DFT PBE
data_AcZnAgPt
_chemical_formula_sum 'Ac2 Zn2 Ag2 Pt2'
_symmetry_space_group_name_H-M 'P 1'
_symmetry_Int_Tables_number 1
_cell_length_a 4.227
_cell_length_b 4.227
_cell_length_c 10.759
_cell_angle_alpha 90.00
_cell_angle_beta 90.00
_cell_angle_gamma 90.00
loop_
_symmetry_equiv_pos_as_xyz
'x,y,z'
loop_
_atom_site_label
_atom_site_type_symbol
_atom_site_fract_x
_atom_site_fract_y
_atom_site_fract_z
_atom_site_occupancy
Ac1 Ac 0.250 0.250 0.184 1
Ac2 Ac 0.750 0.750 0.816 1
Zn1 Zn 0.250 0.250 0.654 1
Zn2 Zn 0.750 0.750 0.346 1
Ag1 Ag 0.250 0.750 0.500 1
Ag2 Ag 0.750 0.250 0.500 1
Pt1 Pt 0.250 0.250 0.890 1
Pt2 Pt 0.750 0.750 0.110 1
# ΔH_f (0 K) in eV per atom: -0.538
# Density in kg/m³: 10288
# Symmetry: P4/nmm (129)
# E in eV per atom: -4.1069
# Excess energy over the best structure of this formula in the dataset in eV per atom: 0.000